(1)
Nd6B2CCl3 | PBE | relaxed

Values from the calculation:
- Total moment: 0.000 μB/atom
- Final energy: -0.2067 Ha/atom
- Crystal system: monoclinic

a = 3.912 Å, b = 8.392 Å, c = 9.272 Å
α = 108.16°, β = 102.18°, γ = 90.00°
Sites, in units of the cell vectors:
Nd1 0.677 0.558 0.354
Nd2 0.010 0.215 0.020
Nd3 0.990 0.785 0.980
Nd4 0.323 0.442 0.646
Nd5 0.653 0.105 0.305
Nd6 0.347 0.895 0.695
B1 0.164 0.329 0.328
B2 0.836 0.671 0.672
Cl1 0.833 0.167 0.665
Cl2 0.500 0.500 0.000
Cl3 0.167 0.833 0.335
C1 0.500 0.000 0.000

(2)
Nd8BC3Cl4 | PBE | relaxed

Values from the calculation:
- Total moment: 0.000 μB/atom
- Final energy: -0.2193 Ha/atom
- Crystal system: trigonal

a = 7.673 Å, b = 8.383 Å, c = 7.674 Å
α = 117.25°, β = 120.00°, γ = 90.00°
Sites, in units of the cell vectors:
Nd1 0.270 0.309 0.539
Nd2 0.765 0.304 0.039
Nd3 0.235 0.696 0.961
Nd4 0.274 0.304 0.039
Nd5 0.765 0.304 0.530
Nd6 0.726 0.696 0.961
Nd7 0.235 0.696 0.470
Nd8 0.730 0.691 0.461
C1 0.500 0.500 0.500
C2 0.500 0.500 0.000
C3 0.000 0.500 0.500
Cl1 0.500 0.000 0.500
Cl2 0.000 0.000 0.000
Cl3 0.500 0.000 0.000
Cl4 0.000 0.000 0.500
B1 0.000 0.500 0.000

(3)
Nd6BC2Cl3 | PBE | relaxed

Values from the calculation:
- Total moment: 0.000 μB/atom
- Final energy: -0.2167 Ha/atom
- Crystal system: monoclinic

a = 3.852 Å, b = 8.377 Å, c = 9.244 Å
α = 109.57°, β = 102.03°, γ = 90.00°
Sites, in units of the cell vectors:
Nd1 0.320 0.448 0.640
Nd2 0.014 0.228 0.028
Nd3 0.680 0.552 0.360
Nd4 0.657 0.118 0.314
Nd5 0.986 0.772 0.972
Nd6 0.343 0.882 0.686
Cl1 0.500 0.500 0.000
Cl2 0.834 0.167 0.668
Cl3 0.166 0.833 0.332
B1 0.500 0.000 0.000
C1 0.169 0.338 0.338
C2 0.831 0.662 0.662

(4)
Nd4BCCl2 | PBE | relaxed

Values from the calculation:
- Total moment: 0.000 μB/atom
- Final energy: -0.2117 Ha/atom
- Crystal system: monoclinic

a = 3.882 Å, b = 6.741 Å, c = 7.426 Å
α = 107.72°, β = 90.00°, γ = 90.00°
Sites, in units of the cell vectors:
Cl1 0.500 0.000 0.500
Cl2 0.000 0.500 0.500
Nd1 0.500 0.773 0.805
Nd2 0.000 0.740 0.201
Nd3 0.500 0.227 0.195
Nd4 0.000 0.260 0.799
C1 0.000 0.000 0.000
B1 0.500 0.500 0.000

(5)
BPCCl2 | PBE | relaxed

Values from the calculation:
- Energy above the lowest structure with this stoichiometry: 93.4 meV per atom
- Total moment: 0.048 μB/atom
- Final energy: -0.1146 Ha/atom
- Crystal system: tetragonal

a = 4.070 Å, b = 4.070 Å, c = 4.532 Å
α = 90.00°, β = 90.00°, γ = 90.00°
Last column: magnetic moment on the atom in μB.
Sites, in units of the cell vectors:
B1 0.000 0.000 0.000  -0.01
Cl1 0.000 0.500 0.000  -0.01
Cl2 0.500 0.000 0.000  -0.01
P1 0.000 0.000 0.500  -0.03
C1 0.500 0.500 0.500  0.17

(6)
BPCCl2 | PBE | relaxed

Values from the calculation:
- Energy above the lowest structure with this stoichiometry: 0.0 meV per atom
- Total moment: 0.102 μB/atom
- Final energy: -0.1181 Ha/atom
- Crystal system: tetragonal

a = 5.098 Å, b = 5.098 Å, c = 3.523 Å
α = 90.00°, β = 90.00°, γ = 90.00°
Last column: magnetic moment on the atom in μB.
Sites, in units of the cell vectors:
C1 0.000 0.000 0.000  0.01
Cl1 0.500 0.000 0.000  0.10
Cl2 0.000 0.500 0.000  0.10
P1 0.000 0.000 0.500  0.14
B1 0.500 0.500 0.500  -0.01

(7)
Pm6B2CCl3 | PBE | relaxed

Values from the calculation:
- Total moment: 0.000 μB/atom
- Final energy: -0.2073 Ha/atom
- Crystal system: monoclinic

a = 3.884 Å, b = 8.305 Å, c = 9.182 Å
α = 108.01°, β = 102.21°, γ = 90.00°
Sites, in units of the cell vectors:
Cl1 0.833 0.167 0.666
Cl2 0.500 0.500 0.000
Cl3 0.167 0.833 0.334
Pm1 0.677 0.557 0.354
Pm2 0.653 0.105 0.305
Pm3 0.990 0.785 0.980
Pm4 0.010 0.215 0.020
Pm5 0.347 0.895 0.695
Pm6 0.323 0.443 0.646
B1 0.164 0.329 0.328
B2 0.836 0.671 0.672
C1 0.500 0.000 0.000

(8)
Rb2BCCl6 | PBE | relaxed

Values from the calculation:
- Total moment: 0.100 μB/atom
- Final energy: -0.1176 Ha/atom
- Crystal system: tetragonal

a = 6.925 Å, b = 6.925 Å, c = 7.165 Å
α = 61.10°, β = 61.10°, γ = 90.00°
Last column: magnetic moment on the atom in μB.
Sites, in units of the cell vectors:
B1 0.500 0.500 0.000  0.04
Cl1 0.704 0.296 0.000  -0.01
Cl2 0.211 0.211 0.577  0.01
Cl3 0.704 0.704 0.000  -0.01
Cl4 0.296 0.704 0.000  -0.01
Cl5 0.296 0.296 0.000  -0.01
Cl6 0.789 0.789 0.423  0.01
Rb1 0.250 0.750 0.500  0.00
Rb2 0.750 0.250 0.500  0.00
C1 0.000 0.000 0.000  0.50

(9)
Re2BCCl | PBE | relaxed

Values from the calculation:
- Total moment: 0.000 μB/atom
- Final energy: -0.2686 Ha/atom
- Crystal system: tetragonal

a = 4.389 Å, b = 3.005 Å, c = 4.389 Å
α = 90.00°, β = 90.00°, γ = 90.00°
Sites, in units of the cell vectors:
Re1 0.000 0.000 0.500
Re2 0.500 0.000 0.000
B1 0.000 0.500 0.000
C1 0.000 0.000 0.000
Cl1 0.500 0.500 0.500

(10)
BRuC2Cl | PBE | relaxed

Values from the calculation:
- Total moment: 0.000 μB/atom
- Final energy: -0.2074 Ha/atom
- Crystal system: tetragonal

a = 3.947 Å, b = 4.390 Å, c = 3.947 Å
α = 90.00°, β = 90.00°, γ = 90.00°
Sites, in units of the cell vectors:
C1 0.500 0.000 0.000
C2 0.000 0.000 0.500
Ru1 0.000 0.000 0.000
Cl1 0.500 0.500 0.500
B1 0.000 0.500 0.000

(11)
BCS2Cl | PBE | relaxed

Values from the calculation:
- Energy above the lowest structure with this stoichiometry: 0.0 meV per atom
- Total moment: 0.000 μB/atom
- Final energy: -0.1271 Ha/atom
- Crystal system: tetragonal

a = 3.818 Å, b = 3.818 Å, c = 7.857 Å
α = 90.00°, β = 90.00°, γ = 90.00°
Sites, in units of the cell vectors:
Cl1 0.000 0.000 0.500
B1 0.500 0.500 0.500
S1 0.500 0.000 0.000
S2 0.000 0.500 0.000
C1 0.000 0.000 0.000

(12)
BCS2Cl | PBE | relaxed

Values from the calculation:
- Energy above the lowest structure with this stoichiometry: 171.0 meV per atom
- Total moment: 0.006 μB/atom
- Final energy: -0.1209 Ha/atom
- Crystal system: tetragonal

a = 4.179 Å, b = 4.179 Å, c = 4.138 Å
α = 90.00°, β = 90.00°, γ = 90.00°
Sites, in units of the cell vectors:
B1 0.000 0.000 0.000
S1 0.500 0.000 0.000
S2 0.000 0.500 0.000
Cl1 0.000 0.000 0.500
C1 0.500 0.500 0.500